Record 1
Material: Dy3Os
Method: DFT, GGA-PBE
State: optimized geometry

Geometry as POSCAR:
```
Dy3Os
1.0
3.626 0.000 0.000
0.000 3.353 0.000
0.000 0.000 9.364
Os Dy
1 3
Direct
0.000 0.000 0.975
0.000 0.500 0.472
0.500 0.500 0.126
0.500 0.000 0.760
```

Summary:
- DOS(E_F): 0.971 states/eV/atom
- Total DFT energy (no corrections): -6.059 eV/atom
- SG: Pmm2


Record 2
Material: Ce6SiTe3As2
Method: DFT, GGA-PBE
State: optimized geometry

Geometry as POSCAR:
```
Ce6SiTe3As2
1.0
-2.300 2.414 -2.750
-6.948 -0.520 5.356
5.862 6.584 4.273
Ce Si Te As
6 1 3 2
Direct
0.340 0.904 0.680
0.672 0.570 0.344
0.660 0.096 0.320
0.005 0.233 0.010
0.995 0.767 0.990
0.328 0.430 0.656
0.500 0.000 0.000
0.500 0.500 0.000
0.833 0.167 0.665
0.167 0.833 0.335
0.833 0.666 0.666
0.167 0.334 0.334
```

Summary:
- DOS(E_F): 3.128 states/eV/atom
- Total DFT energy (no corrections): -6.262 eV/atom
- E_form (uncorrected): -1.2832 eV per atom
- SG: C2/m


Record 3
Material: KTc2Ru
Method: DFT, GGA-PBE
State: optimized geometry

Geometry as POSCAR:
```
KTc2Ru
1.0
-5.871 4.034 -2.297
-4.471 -3.916 4.548
-4.688 1.969 3.246
Ru K Tc
2 2 4
Direct
0.000 0.000 0.000
0.750 0.250 0.500
0.500 0.500 0.000
0.250 0.750 0.500
0.693 0.125 0.250
0.057 0.625 0.250
0.375 0.307 0.750
0.875 0.943 0.750
```

Summary:
- DOS(E_F): 1.692 states/eV/atom
- Total DFT energy (no corrections): -6.290 eV/atom
- Energy above the lowest structure with this stoichiometry: 0.7377 eV per atom
- SG: I-42d


Record 4
Material: CsCa2PmCl8
Method: DFT, GGA-PBE
State: optimized geometry

Geometry as POSCAR:
```
CsCa2PmCl8
1.0
-2.326 4.075 -4.871
1.973 -4.215 -4.627
-7.969 -4.125 0.342
Cs Ca Pm Cl
1 2 1 8
Direct
0.000 0.000 0.500
0.500 0.500 0.746
0.500 0.500 0.254
0.000 0.000 0.000
0.176 0.753 0.205
0.678 0.732 0.000
0.823 0.246 0.205
0.824 0.247 0.795
0.322 0.268 0.000
0.177 0.754 0.795
0.604 0.722 0.500
0.396 0.278 0.500
```

Summary:
- DOS(E_F): 0.000 states/eV/atom
- Total DFT energy (no corrections): -4.274 eV/atom
- E_form (uncorrected): -2.2425 eV per atom
- SG: P-1


no.,total magnetization (μB/atom)
1,0.00
2,0.46
3,0.00
4,0.00